Entry 1:
DFT (GGA-PBEsol) results for a relaxed structure of BaNa2Li2.

## Properties
Spin magnetization: 0.003 Bohr magnetons per cell
DOS(E_F): 4.06 states/eV/f.u.
Formation enthalpy at 0 K: 0.37 eV/f.u.

a = 9.5711 Å, b = 9.5711 Å, c = 3.7320 Å
α = 90.00°, β = 90.00°, γ = 90.00°
Sites, in units of the cell vectors:
Ba 0.0000 0.0000 0.0000
Ba 0.5000 0.5000 0.0000
Na 0.1240 0.3760 0.0000
Na 0.3760 0.8760 0.0000
Na 0.6240 0.1240 0.0000
Na 0.8760 0.6240 0.0000
Li 0.1727 0.6727 0.5000
Li 0.3273 0.1727 0.5000
Li 0.6727 0.8273 0.5000
Li 0.8273 0.3273 0.5000

=====

Entry 2:
DFT (GGA-PBEsol) results for a relaxed structure of BaNaLiRe2.

## Properties
Spin magnetization: 3.126 Bohr magnetons per cell
DOS(E_F): 5.32 states/eV/f.u.
Formation enthalpy at 0 K: 13.56 eV/f.u.

a = 5.1651 Å, b = 5.1651 Å, c = 5.5655 Å
α = 90.00°, β = 90.00°, γ = 90.00°
Sites, in units of the cell vectors:
Ba 0.0000 0.0000 0.0000
Na 0.0000 0.0000 0.5000
Li 0.5000 0.5000 0.5000
Re 0.0000 0.5000 0.0000
Re 0.5000 0.0000 0.0000

=====

Entry 3:
DFT (GGA-PBEsol) results for a relaxed structure of BaLi3Nb.

## Properties
Spin magnetization: 1.968 Bohr magnetons per cell
DOS(E_F): 2.92 states/eV/f.u.
Formation enthalpy at 0 K: 7.74 eV/f.u.

a = 4.8875 Å, b = 4.8875 Å, c = 4.8875 Å
α = 90.00°, β = 90.00°, γ = 90.00°
Sites, in units of the cell vectors:
Ba 0.0000 0.0000 0.0000
Li 0.0000 0.0000 0.5000
Li 0.0000 0.5000 0.0000
Li 0.5000 0.0000 0.0000
Nb 0.5000 0.5000 0.5000

=====

Entry 4:
DFT (GGA-PBEsol) results for a relaxed structure of Ba4LiNb3O12.

## Properties
Spin magnetization: 0.000 Bohr magnetons per cell
DOS(E_F): 0.00 states/eV/f.u.
Raw formation energy: -56.43 eV/f.u.

a = 19.0922 Å, b = 5.8027 Å, c = 10.0779 Å
α = 90.00°, β = 90.00°, γ = 90.00°
Sites, in units of the cell vectors:
Ba 0.0009 0.2500 0.2485
Ba 0.1329 0.2500 0.9269
Ba 0.1387 0.7500 0.4065
Ba 0.2487 0.7500 0.0840
Ba 0.2513 0.2500 0.5840
Ba 0.3613 0.2500 0.9065
Ba 0.3671 0.7500 0.4269
Ba 0.4991 0.7500 0.7485
Ba 0.5009 0.2500 0.2515
Ba 0.6329 0.2500 0.5731
Ba 0.6387 0.7500 0.0935
Ba 0.7487 0.7500 0.4160
Ba 0.7513 0.2500 0.9160
Ba 0.8613 0.2500 0.5935
Ba 0.8671 0.7500 0.0731
Ba 0.9991 0.7500 0.7515
Li 0.1670 0.2500 0.2496
Li 0.3330 0.7500 0.7496
Li 0.6670 0.2500 0.2504
Li 0.8330 0.7500 0.7504
Nb 0.0642 0.2500 0.5806
Nb 0.0636 0.7500 0.0866
Nb 0.1909 0.7500 0.7514
Nb 0.3091 0.2500 0.2514
Nb 0.4364 0.2500 0.5866
Nb 0.4358 0.7500 0.0806
Nb 0.5642 0.2500 0.9194
Nb 0.5636 0.7500 0.4134
Nb 0.6909 0.7500 0.7486
Nb 0.8091 0.2500 0.2486
Nb 0.9364 0.2500 0.9134
Nb 0.9358 0.7500 0.4194
O 0.0000 0.0000 0.0000
O 0.0000 0.0000 0.5000
O 0.0000 0.5000 0.0000
O 0.0000 0.5000 0.5000
O 0.0010 0.7500 0.2487
O 0.1191 0.0027 0.6675
O 0.1191 0.4973 0.6675
O 0.1195 0.7500 0.9145
O 0.1214 0.2500 0.4261
O 0.1215 0.5098 0.1606
O 0.1215 0.9902 0.1606
O 0.2415 0.7500 0.5890
O 0.2430 0.5080 0.8300
O 0.2430 0.9920 0.8300
O 0.2570 0.0080 0.3300
O 0.2570 0.4920 0.3300
O 0.2585 0.2500 0.0890
O 0.3785 0.0098 0.6606
O 0.3785 0.4902 0.6606
O 0.3786 0.7500 0.9261
O 0.3805 0.2500 0.4145
O 0.3809 0.5027 0.1675
O 0.3809 0.9973 0.1675
O 0.4990 0.2500 0.7487
O 0.5000 0.0000 0.0000
O 0.5000 0.0000 0.5000
O 0.5000 0.5000 0.0000
O 0.5000 0.5000 0.5000
O 0.5010 0.7500 0.2513
O 0.6191 0.0027 0.8325
O 0.6191 0.4973 0.8325
O 0.6195 0.7500 0.5855
O 0.6214 0.2500 0.0739
O 0.6215 0.5098 0.3394
O 0.6215 0.9902 0.3394
O 0.7415 0.7500 0.9110
O 0.7430 0.5080 0.6700
O 0.7430 0.9920 0.6700
O 0.7570 0.0080 0.1700
O 0.7570 0.4920 0.1700
O 0.7585 0.2500 0.4110
O 0.8785 0.0098 0.8394
O 0.8785 0.4902 0.8394
O 0.8786 0.7500 0.5739
O 0.8805 0.2500 0.0855
O 0.8809 0.5027 0.3325
O 0.8809 0.9973 0.3325
O 0.9990 0.2500 0.7513